[1]
A plane-wave DFT calculation with PBE was carried out for CdBiSb2I after structural relaxation.

```
5
Lattice="5.5860 0.0000 0.0000 0.0000 5.5860 0.0000 0.0000 0.0000 5.6403" Properties=species:S:1:pos:R:3 pbc="T T T"
Cd 0.0000 0.0000 0.0000
Bi 2.7930 2.7930 2.8202
Sb 0.0000 2.7930 0.0000
Sb 2.7930 0.0000 0.0000
I 0.0000 0.0000 2.8202
```

Summary:
The raw formation energy comes out at 281.0 kJ/mol of formula units. The value obtained for the electronic total energy is -2.336 eV per atom. For the energy above the most stable polymorph in this dataset, the calculation gives 0.0 kJ per mole of atoms. Its crystal system is tetragonal.

=====

[2]
A plane-wave DFT calculation with PBE was carried out for AcPuAs2Pd2 after structural relaxation.

```
6
Lattice="4.4250 0.0000 0.0000 -2.2125 3.8322 0.0000 0.0000 0.0000 7.9657" Properties=species:S:1:pos:R:3 pbc="T T T"
Ac 0.0000 0.0000 0.0000
Pu 0.0000 0.0000 3.9828
As 0.0000 2.5548 2.1985
As 2.2125 1.2774 5.7672
Pd 0.0000 2.5548 5.8806
Pd 2.2125 1.2774 2.0850
```

Summary:
The value obtained for the electronic total energy is -7.371 eV per atom. Its crystal system is trigonal. The energy of formation from the pure elements comes out at -1017 meV per atom.

=====

[3]
A plane-wave DFT calculation with PBE was carried out for YCoBr after structural relaxation.

```
12
Lattice="6.7781 0.0000 0.0000 0.0000 3.9127 0.0000 -2.3088 0.0000 11.6061" Properties=species:S:1:pos:R:3 pbc="T T T"
Y 0.0000 0.0000 0.0000
Y -0.0022 0.0000 3.7408
Y 3.3891 1.9564 0.0000
Y 3.3869 1.9564 3.7408
Co 1.1281 1.9564 1.8703
Co 2.2578 0.0000 1.8703
Co 4.5172 0.0000 1.8703
Co 5.6469 1.9564 1.8703
Br -1.1794 1.9564 9.6757
Br 1.1303 1.9564 5.6713
Br 2.2097 0.0000 9.6757
Br 4.5193 0.0000 5.6713
```

Summary:
The raw formation energy comes out at -293.8 kJ/mol of formula units. The value obtained for the electronic total energy is -6.096 eV per atom. Its crystal system is monoclinic.

=====

[4]
A plane-wave DFT calculation with PBE was carried out for BiTe2NO after structural relaxation.

```
5
Lattice="6.0750 0.0000 0.0000 0.0000 6.0750 0.0000 0.0000 0.0000 4.4246" Properties=species:S:1:pos:R:3 pbc="T T T"
Bi 0.0000 0.0000 0.0000
Te 0.0000 3.0375 0.0000
Te 3.0375 0.0000 0.0000
N 0.0000 0.0000 2.2123
O 3.0375 3.0375 2.2123
```

Summary:
The raw formation energy comes out at 753.5 kJ/mol of formula units. The value obtained for the electronic total energy is -3.128 eV per atom. For the energy above the most stable polymorph in this dataset, the calculation gives 60.7 kJ per mole of atoms. Its crystal system is tetragonal.

=====

[5]
A plane-wave DFT calculation with PBE was carried out for ZnSi2Pb2 after structural relaxation.

```
10
Lattice="3.5232 0.0000 0.0000 0.0000 3.5232 0.0000 0.0000 0.0000 18.4498" Properties=species:S:1:pos:R:3 pbc="T T T"
Zn 0.0000 0.0000 0.0000
Zn 1.7616 1.7616 9.2249
Si 0.0000 1.7616 4.6124
Si 0.0000 1.7616 13.8373
Si 1.7616 0.0000 4.6124
Si 1.7616 0.0000 13.8373
Pb 0.0000 0.0000 7.2869
Pb 0.0000 0.0000 11.1629
Pb 1.7616 1.7616 1.9380
Pb 1.7616 1.7616 16.5118
```

Summary:
The raw formation energy comes out at 140.5 kJ/mol of formula units. The value obtained for the electronic total energy is -3.616 eV per atom. For the energy above the most stable polymorph in this dataset, the calculation gives 0.0 kJ per mole of atoms. Its crystal system is tetragonal.

=====

[6]
A plane-wave DFT calculation with PBE was carried out for K2LiCl after structural relaxation.

```
8
Lattice="7.4253 0.0000 0.0000 0.0000 4.2561 0.0000 -2.3595 0.0000 10.3338" Properties=species:S:1:pos:R:3 pbc="T T T"
K 1.2410 0.0000 1.9670
K 0.1122 2.1280 8.3669
K 4.9536 2.1280 1.9670
K 3.8248 0.0000 8.3669
Li -1.1797 0.0000 5.1669
Li 2.5329 2.1280 5.1669
Cl 0.0000 2.1280 0.0000
Cl 3.7126 0.0000 0.0000
```

Summary:
The raw formation energy comes out at -315.7 kJ/mol of formula units. The value obtained for the electronic total energy is -2.307 eV per atom. For the energy above the most stable polymorph in this dataset, the calculation gives 0.0 kJ per mole of atoms. Its crystal system is monoclinic.

=====

[7]
A plane-wave DFT calculation with PBE was carried out for GeIrSN2 after structural relaxation.

```
5
Lattice="3.8041 0.0000 0.0000 0.0000 3.8041 0.0000 0.0000 0.0000 5.3056" Properties=species:S:1:pos:R:3 pbc="T T T"
Ge 0.0000 0.0000 0.0000
Ir 1.9020 1.9020 2.6528
S 1.9020 1.9020 0.0000
N 0.0000 1.9020 2.6528
N 1.9020 0.0000 2.6528
```

Summary:
The raw formation energy comes out at 389.7 kJ/mol of formula units. The value obtained for the electronic total energy is -6.044 eV per atom. For the energy above the most stable polymorph in this dataset, the calculation gives 0.0 kJ per mole of atoms. Its crystal system is tetragonal.

=====

[8]
A plane-wave DFT calculation with PBE was carried out for Y2ZrRu after structural relaxation.

```
4
Lattice="3.3942 0.0000 0.0000 0.0000 3.3942 0.0000 0.0000 0.0000 8.4504" Properties=species:S:1:pos:R:3 pbc="T T T"
Y 0.0000 0.0000 0.0000
Y 1.6971 1.6971 2.8761
Zr 0.0000 0.0000 5.2056
Ru 1.6971 1.6971 6.6612
```

Summary:
The value obtained for the electronic total energy is -7.888 eV per atom. For the energy above the most stable polymorph in this dataset, the calculation gives 3.9 kJ per mole of atoms. Its crystal system is tetragonal. The energy of formation from the pure elements comes out at -200 meV per atom.

=====

[9]
A plane-wave DFT calculation with PBE was carried out for P2RuBrF after structural relaxation.

```
5
Lattice="4.0724 0.0000 0.0000 0.0000 4.0724 0.0000 0.0000 0.0000 5.0955" Properties=species:S:1:pos:R:3 pbc="T T T"
P 0.0000 2.0362 0.0000
P 2.0362 0.0000 0.0000
Ru 0.0000 0.0000 2.5478
Br 2.0362 2.0362 2.5478
F 2.0362 2.0362 0.0000
```

Summary:
The raw formation energy comes out at 453.0 kJ/mol of formula units. The value obtained for the electronic total energy is -3.789 eV per atom. Its crystal system is tetragonal.

=====

[10]
A plane-wave DFT calculation with PBE was carried out for NaSn after structural relaxation.

```
8
Lattice="6.9634 0.0000 0.0000 0.0000 6.9634 0.0000 0.0000 0.0000 6.9634" Properties=species:S:1:pos:R:3 pbc="T T T"
Na 0.0000 0.0000 0.0000
Na 0.0000 3.4817 3.4817
Na 3.4817 0.0000 3.4817
Na 3.4817 3.4817 0.0000
Sn 1.7408 1.7408 5.2225
Sn 1.7408 5.2225 1.7408
Sn 5.2225 1.7408 1.7408
Sn 5.2225 5.2225 5.2225
```

Summary:
The value obtained for the electronic total energy is -1.966 eV per atom. Its crystal system is cubic. The energy of formation from the pure elements comes out at 695 meV per atom.

=====

[11]
A plane-wave DFT calculation with PBE was carried out for AcPm2Y4 after structural relaxation.

```
14
Lattice="6.9047 0.0000 0.0000 1.9587 8.4845 0.0000 2.9951 3.3363 8.3355" Properties=species:S:1:pos:R:3 pbc="T T T"
Ac 0.0000 0.0000 0.0000
Ac 4.5235 9.1028 2.6345
Pm 1.5304 3.3497 0.1974
Pm 2.9714 5.7579 2.3922
Pm 4.0243 3.1536 4.7843
Pm 5.4938 6.4016 4.9814
Y 6.9967 8.9030 7.1483
Y 6.4802 3.7488 7.2904
Y 4.9881 2.9421 1.1931
Y 6.4293 6.1661 1.3972
Y 7.9476 8.7042 3.6665
Y 7.4289 3.5390 3.8019
Y 8.9284 6.0587 5.9639
Y 10.3825 9.3027 6.1812
```

Summary:
The value obtained for the electronic total energy is -5.610 eV per atom. For the energy above the most stable polymorph in this dataset, the calculation gives 0.0 kJ per mole of atoms. Its crystal system is triclinic. The energy of formation from the pure elements comes out at 28 meV per atom.

=====

[12]
A plane-wave DFT calculation with PBE was carried out for SmYInCo after structural relaxation.

```
16
Lattice="7.2855 0.0000 0.0000 0.0000 7.2855 0.0000 0.0000 0.0000 7.2855" Properties=species:S:1:pos:R:3 pbc="T T T"
Sm 0.0000 0.0000 0.0000
Sm 0.0000 3.6427 3.6427
Sm 3.6427 0.0000 3.6427
Sm 3.6427 3.6427 0.0000
Y 0.0000 0.0000 3.6427
Y 0.0000 3.6427 0.0000
Y 3.6427 0.0000 0.0000
Y 3.6427 3.6427 3.6427
In 1.8214 1.8214 5.4641
In 1.8214 5.4641 1.8214
In 5.4641 1.8214 1.8214
In 5.4641 5.4641 5.4641
Co 1.8214 1.8214 1.8214
Co 1.8214 5.4641 5.4641
Co 5.4641 1.8214 5.4641
Co 5.4641 5.4641 1.8214
```

Summary:
The value obtained for the electronic total energy is -5.434 eV per atom. Its crystal system is cubic. The energy of formation from the pure elements comes out at -177 meV per atom.

=====

Repeat the first record exactly.
A plane-wave DFT calculation with PBE was carried out for CdBiSb2I after structural relaxation.

```
5
Lattice="5.5860 0.0000 0.0000 0.0000 5.5860 0.0000 0.0000 0.0000 5.6403" Properties=species:S:1:pos:R:3 pbc="T T T"
Cd 0.0000 0.0000 0.0000
Bi 2.7930 2.7930 2.8202
Sb 0.0000 2.7930 0.0000
Sb 2.7930 0.0000 0.0000
I 0.0000 0.0000 2.8202
```

Summary:
The raw formation energy comes out at 281.0 kJ/mol of formula units. The value obtained for the electronic total energy is -2.336 eV per atom. For the energy above the most stable polymorph in this dataset, the calculation gives 0.0 kJ per mole of atoms. Its crystal system is tetragonal.